Crystalline TlCo15 at its relaxed geometry, computed with GGA-PBE.

Computed properties:
space-group type	P2_1/m (11)

```
data_TlCo15
_chemical_formula_sum 'Tl2 Co30'
_symmetry_space_group_name_H-M 'P 1'
_symmetry_Int_Tables_number 1
_cell_length_a 4.9738
_cell_length_b 2.5475
_cell_length_c 40.6717
_cell_angle_alpha 90.00
_cell_angle_beta 90.01
_cell_angle_gamma 90.00
loop_
_symmetry_equiv_pos_as_xyz
'x,y,z'
loop_
_atom_site_label
_atom_site_fract_x
_atom_site_fract_y
_atom_site_fract_z
_atom_site_occupancy
Co1 0.1251 0.5000 0.5637 1
Co2 0.3752 0.0000 0.6061 1
Co3 0.6252 0.5000 0.4788 1
Co4 0.3766 0.0000 0.7732 1
Co5 0.1248 0.5000 0.4788 1
Co6 0.8749 0.0000 0.4363 1
Co7 0.1192 0.5000 0.3102 1
Co8 0.8809 0.0000 0.6898 1
Co9 0.8750 0.0000 0.2680 1
Co10 0.8750 0.0000 0.3520 1
Co11 0.1252 0.5000 0.3939 1
Co12 0.6249 0.5000 0.5638 1
Co13 0.6309 0.5000 0.3102 1
Co14 0.3691 0.0000 0.6898 1
Co15 0.3750 0.0000 0.2688 1
Co16 0.8735 0.0000 0.7732 1
Co17 0.1250 0.5000 0.7320 1
Co18 0.8748 0.0000 0.6061 1
Co19 0.8752 0.0000 0.5212 1
Co20 0.1266 0.5000 0.2268 1
Co21 0.6250 0.5000 0.7312 1
Co22 0.3750 0.0000 0.3516 1
Co23 0.3751 0.0000 0.4362 1
Co24 0.6250 0.5000 0.8127 1
Co25 0.1250 0.5000 0.6480 1
Co26 0.6234 0.5000 0.2268 1
Co27 0.6248 0.5000 0.3939 1
Co28 0.3750 0.0000 0.1873 1
Co29 0.3748 0.0000 0.5212 1
Co30 0.6250 0.5000 0.6484 1
Tl1 0.8750 0.0000 0.1614 1
Tl2 0.1250 0.5000 0.8386 1
```

---

Crystalline TlCo15 at its relaxed geometry, computed with GGA-PBE.

Computed properties:
space-group type	Pmm2 (25)

```
data_TlCo15
_chemical_formula_sum 'Tl2 Co30'
_symmetry_space_group_name_H-M 'P 1'
_symmetry_Int_Tables_number 1
_cell_length_a 3.5047
_cell_length_b 3.5049
_cell_length_c 41.1245
_cell_angle_alpha 90.00
_cell_angle_beta 90.00
_cell_angle_gamma 90.00
loop_
_symmetry_equiv_pos_as_xyz
'x,y,z'
loop_
_atom_site_label
_atom_site_fract_x
_atom_site_fract_y
_atom_site_fract_z
_atom_site_occupancy
Co1 0.5000 0.5000 0.4789 1
Co2 0.5000 0.5000 0.2251 1
Co3 0.0000 0.5000 0.2668 1
Co4 0.5000 0.5000 0.8141 1
Co5 0.5000 0.0000 0.1859 1
Co6 0.5000 0.5000 0.3099 1
Co7 0.5000 0.0000 0.6056 1
Co8 0.0000 0.5000 0.3520 1
Co9 0.0000 0.0000 0.2251 1
Co10 0.0000 0.0000 0.3944 1
Co11 0.5000 0.5000 0.7321 1
Co12 0.0000 0.0000 0.5635 1
Co13 0.5000 0.5000 0.5633 1
Co14 0.0000 0.5000 0.6056 1
Co15 0.5000 0.0000 0.3522 1
Co16 0.5000 0.0000 0.4366 1
Co17 0.0000 0.5000 0.7749 1
Co18 0.5000 0.5000 0.6478 1
Co19 0.0000 0.5000 0.4365 1
Co20 0.0000 0.5000 0.6901 1
Co21 0.0000 0.0000 0.7332 1
Co22 0.5000 0.5000 0.3944 1
Co23 0.0000 0.5000 0.5211 1
Co24 0.0000 0.0000 0.3099 1
Co25 0.0000 0.0000 0.6480 1
Co26 0.5000 0.0000 0.6901 1
Co27 0.5000 0.0000 0.2679 1
Co28 0.5000 0.0000 0.7749 1
Co29 0.0000 0.0000 0.4789 1
Co30 0.5000 0.0000 0.5211 1
Tl1 0.0000 0.5000 0.1595 1
Tl2 0.0000 0.0000 0.8407 1
```

---

Crystalline TlCo at its relaxed geometry, computed with GGA-PBE.

Computed properties:
space-group type	P-6m2 (187)

```
data_TlCo
_chemical_formula_sum 'Tl1 Co1'
_symmetry_space_group_name_H-M 'P 1'
_symmetry_Int_Tables_number 1
_cell_length_a 3.1807
_cell_length_b 3.1807
_cell_length_c 4.0554
_cell_angle_alpha 90.00
_cell_angle_beta 90.00
_cell_angle_gamma 120.00
loop_
_symmetry_equiv_pos_as_xyz
'x,y,z'
loop_
_atom_site_label
_atom_site_fract_x
_atom_site_fract_y
_atom_site_fract_z
_atom_site_occupancy
Co1 0.6667 0.3333 0.7500 1
Tl1 0.3333 0.6667 0.2500 1
```

---

Table of final energy (eV per atom), in record order: -6.655; -6.677; -4.061
Table of size of the total moment (Bohr magnetons per cell), in record order: 48.7; 41.6; 1.2